Entry 1:
A plane-wave DFT calculation with GGA-PBE was carried out for a geometry-optimized SrCaHoTl structure.

Output
**D(E_F)**: 2.64 states/eV/cell
**M_tot**: 0.000 μB/atom
**Calculated volume**: 33.5 Å³/atom
**Space-group type**: No. 216
**E_tot**: -10.78 eV for the cell shown
**Formation energy from the elements**: -0.038 eV per atom

a b c (Å): 5.7452 5.7452 5.7452
angles (deg): 60.00 60.00 60.00
Closest atoms and distances in Å follow each position.
Sites, in units of the cell vectors:
Sr (0.7500, 0.7500, 0.7500)  4 Tl 3.52, 4 Ca 3.52
Tl (0.0000, 0.0000, 0.0000)  4 Sr 3.52, 4 Ho 3.52
Ca (0.5000, 0.5000, 0.5000)  4 Sr 3.52, 4 Ho 3.52
Ho (0.2500, 0.2500, 0.2500)  4 Tl 3.52, 4 Ca 3.52

Entry 2:
A plane-wave DFT calculation with GGA-PBE was carried out for a geometry-optimized Tb2SmHfN4 structure.

Output
**D(E_F)**: 1.14 states/eV/cell
**ΔE_f (raw)**: -1276 kJ/mol of formula units
**M_tot**: 0.000 μB/atom
**Calculated volume**: 14.3 Å³/atom
**Space-group type**: No. 10
**E_tot**: -70.46 eV for the cell shown

a b c (Å): 3.4253 5.9687 5.9413
angles (deg): 109.18 90.00 90.00
Closest atoms and distances in Å follow each position.
Sites, in units of the cell vectors:
Tb (0.5000, 0.0000, 0.5000)  6 N 2.41
Tb (0.0000, 0.5000, 0.5000)  6 N 2.53-2.55
Sm (0.5000, 0.5000, 0.0000)  6 N 2.45-2.46
Hf (0.0000, 0.0000, 0.0000)  6 N 2.30-2.34
N (0.5000, 0.2286, 0.2328)  2 Hf 2.34, 3 Tb 2.41-2.53, 1 Sm 2.45
N (0.5000, 0.7714, 0.7672)  2 Hf 2.34, 3 Tb 2.41-2.53, 1 Sm 2.45
N (0.0000, 0.2329, 0.7583)  1 Hf 2.30, 3 Tb 2.41-2.55, 2 Sm 2.46
N (0.0000, 0.7671, 0.2417)  1 Hf 2.30, 3 Tb 2.41-2.55, 2 Sm 2.46